A relaxed Na3CoO crystal, computed with PBE with a Hubbard U.

Results
Space-group type: Pm-3m (221)
E_tot, eV per atom: -1.9743
Distance to the lowest polymorph of the same formula, eV/f.u.: 4.79
M_tot, μB/f.u.: 2.0

POSCAR file:
```
Na3CoO
1.0
5.2463 0.0000 0.0000
0.0000 5.2463 0.0000
0.0000 0.0000 5.2463
Na Co O
3 1 1
direct
0.0000 0.5000 0.0000
0.0000 0.0000 0.5000
0.5000 0.0000 0.0000
0.0000 0.0000 0.0000
0.5000 0.5000 0.5000
```